Sm5Te5Se2 | PBE | relaxed

Unit cell a=4.286 b=7.519 c=12.956 alpha=105.12 beta=90.00 gamma=106.56
Fractional coordinates of all 12 atoms:
Te 0.500 0.000 0.500
Te 0.664 0.328 0.052
Te 0.747 0.494 0.352
Sm 0.685 0.370 0.805
Se 0.960 0.921 0.209
Sm 0.891 0.782 0.591
Sm 0.000 0.000 0.000
Te 0.336 0.672 0.948
Sm 0.315 0.630 0.195
Se 0.040 0.079 0.791
Te 0.253 0.506 0.648
Sm 0.109 0.218 0.409

Output
Uncorrected formation energy ... -1.552 eV/atom
SG ... C2/m, No. 12
E_tot ... -5.408 eV/atom
Spin magnetization ... 0.000 Bohr magnetons per cell


SmTeSe | PBE | relaxed

Unit cell a=3.908 b=3.908 c=5.998 alpha=109.01 beta=109.01 gamma=90.00
Fractional coordinates of all 3 atoms:
Se 0.033 0.033 0.066
Te 0.321 0.321 0.643
Sm 0.646 0.646 0.291

Output
Uncorrected formation energy ... -1.205 eV/atom
SG ... I4mm, No. 107
E_tot ... -4.987 eV/atom
E above lowest polymorph ... 0.2435 eV per atom
Spin magnetization ... 0.000 Bohr magnetons per cell


Sm3Te2Se | PBE | relaxed

Unit cell a=4.324 b=6.132 c=7.624 alpha=113.71 beta=106.47 gamma=90.00
Fractional coordinates of all 6 atoms:
Te 0.825 0.825 0.151
Se 0.500 0.500 0.500
Te 0.175 0.175 0.849
Sm 0.500 0.000 0.500
Sm 0.145 0.645 0.790
Sm 0.855 0.355 0.210

Output
Uncorrected formation energy ... -1.519 eV/atom
SG ... Immm, No. 71
E_tot ... -5.507 eV/atom
E above lowest polymorph ... 0.0000 eV per atom
Spin magnetization ... 0.000 Bohr magnetons per cell


Sm4TeSe2 | PBE | relaxed

Unit cell a=4.100 b=7.151 c=14.272 alpha=90.00 beta=90.00 gamma=106.66
Fractional coordinates of all 14 atoms:
Sm 0.777 0.555 0.121
Te 0.600 0.200 0.750
Sm 0.777 0.555 0.379
Sm 0.500 0.000 0.000
Sm 0.927 0.854 0.750
Sm 0.073 0.146 0.250
Sm 0.500 0.000 0.500
Sm 0.223 0.445 0.621
Se 0.862 0.724 0.939
Te 0.400 0.800 0.250
Sm 0.223 0.445 0.879
Se 0.138 0.276 0.439
Se 0.138 0.276 0.061
Se 0.862 0.724 0.561

Output
Uncorrected formation energy ... -1.390 eV/atom
SG ... Cmcm, No. 63
E_tot ... -5.531 eV/atom
Spin magnetization ... 0.000 Bohr magnetons per cell


SmTeSe | PBE | relaxed

Unit cell a=5.217 b=5.407 c=10.702 alpha=117.95 beta=90.00 gamma=118.85
Fractional coordinates of all 6 atoms:
Sm 0.306 0.611 0.210
Se 0.627 0.254 0.496
Sm 0.694 0.389 0.790
Te 0.935 0.870 0.147
Te 0.065 0.130 0.853
Se 0.373 0.746 0.504

Output
Uncorrected formation energy ... -1.141 eV/atom
SG ... C2/m, No. 12
E_tot ... -4.923 eV/atom
E above lowest polymorph ... 0.3071 eV per atom
Spin magnetization ... 0.000 Bohr magnetons per cell


Sm8Te4Se3 | PBE | relaxed

Unit cell a=8.516 b=8.589 c=8.589 alpha=90.11 beta=119.68 gamma=119.68
Fractional coordinates of all 15 atoms:
Sm 0.000 0.741 0.259
Sm 0.500 0.736 0.264
Te 0.000 0.000 0.000
Sm 0.500 0.264 0.736
Te 0.000 0.000 0.500
Sm 0.024 0.272 0.272
Se 0.500 0.000 0.500
Sm 0.481 0.730 0.730
Sm 0.519 0.270 0.270
Te 0.000 0.500 0.000
Se 0.500 0.500 0.500
Te 0.500 0.000 0.000
Sm 0.976 0.728 0.728
Se 0.500 0.500 0.000
Sm 0.000 0.259 0.741

Output
Uncorrected formation energy ... -1.416 eV/atom
SG ... C2/m, No. 12
E_tot ... -5.468 eV/atom
Spin magnetization ... 0.000 Bohr magnetons per cell


Sm8TeSe6 | PBE | relaxed

Unit cell a=4.219 b=10.692 c=10.692 alpha=120.00 beta=90.00 gamma=90.00
Fractional coordinates of all 15 atoms:
Sm 0.747 0.333 0.667
Te 0.500 0.000 0.000
Se 0.246 0.131 0.482
Se 0.246 0.351 0.869
Se 0.754 0.482 0.351
Se 0.754 0.869 0.518
Sm 0.253 0.667 0.333
Sm 0.259 0.292 0.328
Sm 0.741 0.964 0.292
Sm 0.259 0.672 0.964
Sm 0.741 0.328 0.036
Sm 0.259 0.036 0.708
Se 0.754 0.649 0.131
Sm 0.741 0.708 0.672
Se 0.246 0.518 0.649

Output
Uncorrected formation energy ... -1.429 eV/atom
SG ... P-3, No. 147
E_tot ... -5.549 eV/atom
Spin magnetization ... 0.000 Bohr magnetons per cell


Sm3TeSe3 | PBE | relaxed

Unit cell a=8.970 b=8.970 c=7.846 alpha=55.14 beta=55.14 gamma=60.00
Fractional coordinates of all 14 atoms:
Te 0.667 0.667 0.999
Se 0.096 0.372 0.731
Se 0.628 0.199 0.269
Sm 0.282 0.553 0.242
Sm 0.077 0.718 0.758
Se 0.199 0.904 0.269
Se 0.372 0.801 0.731
Sm 0.447 0.077 0.758
Se 0.801 0.096 0.731
Te 0.333 0.333 0.001
Sm 0.923 0.282 0.242
Se 0.904 0.628 0.269
Sm 0.553 0.923 0.242
Sm 0.718 0.447 0.758

Output
Uncorrected formation energy ... -1.700 eV/atom
SG ... R-3, No. 148
E_tot ... -5.665 eV/atom
Spin magnetization ... 0.000 Bohr magnetons per cell